Na3Al7Zn4: optimized geometry, PBE-GGA.

Summary:
total moment	0.0	μB per formula unit
formation energy	0.019	eV/atom
crystal system	monoclinic

a = 15.5612 Å, b = 4.2598 Å, c = 9.8297 Å
α = 90.00°, β = 124.66°, γ = 90.00°
With the nearest neighbours (Å) after each atom.
Space group C2/m (No. 12)
Unique sites:
Na1 0.0000 0.0000 0.0000 [2 per cell]  6 Zn 3.13-3.20, 6 Al 3.43-3.47
Na2 0.1949 0.5000 0.6988 [4 per cell]  4 Zn 2.96-3.05, 10 Al 3.13-3.29
Al1 0.0000 0.0000 0.5000 [2 per cell]  2 Zn 2.63, 6 Al 2.90-2.91
Al2 0.0086 0.5000 0.3083 [4 per cell]  3 Zn 2.64-2.67, 5 Al 2.81-2.90
Al3 0.1577 0.0000 0.4292 [4 per cell]  3 Zn 2.69-2.70, 3 Al 2.86-2.91
Al4 0.1770 0.5000 0.0117 [4 per cell]  4 Zn 2.61-2.65, 1 Al 2.81
Zn1 0.1167 0.0000 0.8257 [4 per cell]  6 Al 2.61-2.67
Zn2 0.1619 0.5000 0.2661 [4 per cell]  5 Al 2.64-2.70, 2 Na 2.96